Arrangement i

The following is a PBE calculation of a relaxed HfTi2Sn2 crystal, from Alexandria.

extended XYZ file:
```
10
Lattice="9.5672 0.0000 0.0000 0.0000 4.0263 0.0000 -4.6067 0.0000 5.1868" Properties=species:S:1:pos:R:3 pbc="T T T"
Hf 0.0000 0.0000 0.0000
Hf 4.7836 2.0131 0.0000
Ti -0.8690 0.0000 3.1569
Ti 1.0459 2.0131 2.0299
Ti 3.9146 2.0131 3.1569
Ti 5.8295 0.0000 2.0299
Sn -2.8054 2.0131 4.0238
Sn 2.9823 0.0000 1.1630
Sn 1.9782 0.0000 4.0238
Sn 7.7659 2.0131 1.1630
```

Summary:
The crystal system is monoclinic.

Arrangement ii

The following is a PBE calculation of a relaxed HfTi2Sn2 crystal, from Alexandria.

extended XYZ file:
```
10
Lattice="7.5422 0.0000 0.0000 0.0000 7.5422 0.0000 0.0000 0.0000 3.5695" Properties=species:S:1:pos:R:3 pbc="T T T"
Hf 0.0000 0.0000 0.0000
Hf 3.7711 3.7711 0.0000
Ti 1.2440 2.5271 1.7848
Ti 2.5271 6.2982 1.7848
Ti 5.0151 1.2440 1.7848
Ti 6.2982 5.0151 1.7848
Sn 1.0284 4.7995 0.0000
Sn 2.7426 1.0284 0.0000
Sn 4.7995 6.5137 0.0000
Sn 6.5137 2.7426 0.0000
```

Summary:
The crystal system is tetragonal.

Arrangement iii

The following is a PBE calculation of a relaxed HfTi2Sn2 crystal, from Alexandria.

extended XYZ file:
```
10
Lattice="8.1073 0.0000 0.0000 0.0000 8.1073 0.0000 0.0000 0.0000 3.0933" Properties=species:S:1:pos:R:3 pbc="T T T"
Hf 0.0000 0.0000 0.0000
Hf 4.0537 4.0537 0.0000
Ti 0.9510 3.1026 0.0000
Ti 3.1026 7.1563 0.0000
Ti 5.0047 0.9510 0.0000
Ti 7.1563 5.0047 0.0000
Sn 1.4509 5.5045 1.5466
Sn 2.6028 1.4509 1.5466
Sn 5.5045 6.6564 1.5466
Sn 6.6564 2.6028 1.5466
```

Summary:
The crystal system is tetragonal.

Stability check: which of them is most stable? arrangement i.

Arrangement i

The following is a PBE calculation of a relaxed Hf2Ti4Sn crystal, from Alexandria.

extended XYZ file:
```
14
Lattice="4.8278 -2.7641 0.0000 4.8278 2.7641 0.0000 -4.2403 0.0000 10.1443" Properties=species:S:1:pos:R:3 pbc="T T T"
Hf 1.6474 0.0564 0.0677
Hf -0.4727 -0.0564 5.1399
Hf 5.8880 0.0564 5.0045
Hf 3.7679 -0.0564 10.0766
Ti -0.9086 0.6596 7.8360
Ti 1.6476 1.6875 7.6083
Ti 3.7677 1.0466 2.5361
Ti 1.2115 -0.6596 2.7638
Ti 4.2037 0.6596 7.3805
Ti 1.6476 -1.0466 7.6083
Ti 3.7677 -1.6875 2.5361
Ti 6.3239 -0.6596 2.3084
Sn 4.8278 0.0000 0.0000
Sn 2.7076 0.0000 5.0722
```

Summary:
The crystal system is monoclinic.

Arrangement ii

The following is a PBE calculation of a relaxed Hf2Ti4Sn crystal, from Alexandria.

extended XYZ file:
```
14
Lattice="5.3010 0.0000 0.0000 0.0000 12.1744 0.0000 0.0000 0.0000 4.7034" Properties=species:S:1:pos:R:3 pbc="T T T"
Hf 0.0000 1.5547 0.0000
Hf 0.0000 10.6197 0.0000
Hf 2.6505 4.5325 0.0000
Hf 2.6505 7.6419 0.0000
Ti 0.0000 3.3254 2.3517
Ti 0.0000 4.4856 0.0000
Ti 0.0000 7.6888 0.0000
Ti 0.0000 8.8490 2.3517
Ti 2.6505 1.6016 0.0000
Ti 2.6505 2.7618 2.3517
Ti 2.6505 9.4125 2.3517
Ti 2.6505 10.5728 0.0000
Sn 0.0000 6.0872 2.3517
Sn 2.6505 0.0000 2.3517
```

Summary:
The crystal system is orthorhombic.

Stability check: which of them is most stable? arrangement i.